The following is a SCAN calculation of a crystal of NaLi2C2 relaxed with PBEsol, from the Alexandria database.

The structure in CIF format:
```
data_NaLi2C2
_cell_length_a 5.981
_cell_length_b 5.981
_cell_length_c 3.496
_cell_angle_alpha 90.00
_cell_angle_beta 90.00
_cell_angle_gamma 90.00
_symmetry_space_group_name_H-M 'P 4/m b m'
_symmetry_Int_Tables_number 127
_symmetry_space_group_name_Hall '-P 4 2ab'
loop_
_atom_site_label
_atom_site_fract_x
_atom_site_fract_y
_atom_site_fract_z
_atom_site_occupancy
Na1 0.000 0.000 0.000 1
Li1 0.154 0.346 0.500 1
C1 0.077 0.577 0.000 1
```



The following is a SCAN calculation of a crystal of Na2Li4Ni2C4SO16 relaxed with PBEsol, from the Alexandria database.

Its formation energy without anion corrections is -1791 meV per atom.

The structure in CIF format:
```
data_Na2Li4Ni2C4SO16
_cell_length_a 12.825
_cell_length_b 13.662
_cell_length_c 13.712
_cell_angle_alpha 90.00
_cell_angle_beta 90.00
_cell_angle_gamma 90.00
_symmetry_space_group_name_H-M 'F d d d'
_symmetry_Int_Tables_number 70
loop_
_symmetry_equiv_pos_as_xyz
'x,y,z'
'-x,-y,-z'
'-x+1/4,-y+1/4,z'
'x+1/4,y+1/4,-z'
'x,-y+1/4,-z+1/4'
'-x,y+1/4,z+1/4'
'-x+1/4,y,-z+1/4'
'x+1/4,-y,z+1/4'
'x,y+1/2,z+1/2'
'-x,-y+1/2,-z+1/2'
'-x+1/4,-y+3/4,z+1/2'
'x+1/4,y+3/4,-z+1/2'
'x,-y+3/4,-z+3/4'
'-x,y+3/4,z+3/4'
'-x+1/4,y+1/2,-z+3/4'
'x+1/4,-y+1/2,z+3/4'
'x+1/2,y,z+1/2'
'-x+1/2,-y,-z+1/2'
'-x+3/4,-y+1/4,z+1/2'
'x+3/4,y+1/4,-z+1/2'
'x+1/2,-y+1/4,-z+3/4'
'-x+1/2,y+1/4,z+3/4'
'-x+3/4,y,-z+3/4'
'x+3/4,-y,z+3/4'
'x+1/2,y+1/2,z'
'-x+1/2,-y+1/2,-z'
'-x+3/4,-y+3/4,z'
'x+3/4,y+3/4,-z'
'x+1/2,-y+3/4,-z+1/4'
'-x+1/2,y+3/4,z+1/4'
'-x+3/4,y+1/2,-z+1/4'
'x+3/4,-y+1/2,z+1/4'
loop_
_atom_site_label
_atom_site_fract_x
_atom_site_fract_y
_atom_site_fract_z
_atom_site_occupancy
Na1 0.125 0.348 0.125 1
Li1 0.096 0.262 0.335 1
Ni1 0.000 0.000 0.500 1
C1 0.024 0.036 0.717 1
S1 0.125 0.125 0.125 1
O1 0.014 0.275 0.604 1
O2 0.045 0.354 0.977 1
O3 0.058 0.061 0.063 1
O4 0.098 0.027 0.780 1
```



The following is a SCAN calculation of a crystal of NaLi2PC relaxed with PBEsol, from the Alexandria database.

The structure in CIF format:
```
data_NaLi2PC
_cell_length_a 4.274
_cell_length_b 4.274
_cell_length_c 3.860
_cell_angle_alpha 90.00
_cell_angle_beta 90.00
_cell_angle_gamma 90.00
_symmetry_space_group_name_H-M 'P 4/m m m'
_symmetry_Int_Tables_number 123
_symmetry_space_group_name_Hall '-P 4 2'
loop_
_atom_site_label
_atom_site_fract_x
_atom_site_fract_y
_atom_site_fract_z
_atom_site_occupancy
Na1 0.000 0.000 0.000 1
Li1 0.000 0.500 0.500 1
P1 0.500 0.500 0.000 1
C1 0.500 0.500 0.500 1
```



| no. | volume (A^3/atom) | theoretical density (Mg/m³) | energy (eV for the cell shown) |
| --- | --- | --- | --- |
| 1 | 12.5 | 1.62 | -56.5 |
| 2 | 10.4 | 2.92 | -2016.1 |
| 3 | 14.1 | 1.88 | -27.9 |